First-principles (PBEsol) data for a geometry-optimized TaAu2 structure, as listed in Alexandria via LeMat-Bulk.

Structure (CIF):
```
data_TaAu2
_chemical_formula_sum 'Ta4 Au8'
_space_group_name_H-M_alt 'I 41/a m d'
_space_group_IT_number 141
_cell_length_a 2.864
_cell_length_b 2.864
_cell_length_c 25.669
_cell_angle_alpha 90.00
_cell_angle_beta 90.00
_cell_angle_gamma 90.00
loop_
_space_group_symop_operation_xyz
'x,y,z'
'-x,-y,-z'
'-y+1/4,x+3/4,z+1/4'
'y+1/4,-x+3/4,-z+1/4'
'-x+1/2,-y,z+1/2'
'x+1/2,y,-z+1/2'
'y+1/4,-x+1/4,z+3/4'
'-y+1/4,x+1/4,-z+3/4'
'x,-y,-z'
'-x,y,z'
'-y+1/4,-x+1/4,-z+3/4'
'y+1/4,x+1/4,z+3/4'
'-x+1/2,y,-z+1/2'
'x+1/2,-y,z+1/2'
'y+1/4,x+3/4,-z+1/4'
'-y+1/4,-x+3/4,z+1/4'
'x+1/2,y+1/2,z+1/2'
'-x+1/2,-y+1/2,-z+1/2'
'-y+3/4,x+1/4,z+3/4'
'y+3/4,-x+1/4,-z+3/4'
'-x,-y+1/2,z'
'x,y+1/2,-z'
'y+3/4,-x+3/4,z+1/4'
'-y+3/4,x+3/4,-z+1/4'
'x+1/2,-y+1/2,-z+1/2'
'-x+1/2,y+1/2,z+1/2'
'-y+3/4,-x+3/4,-z+1/4'
'y+3/4,x+3/4,z+1/4'
'-x,y+1/2,-z'
'x,-y+1/2,z'
'y+3/4,x+1/4,-z+3/4'
'-y+3/4,-x+1/4,z+3/4'
loop_
_atom_site_label
_atom_site_fract_x
_atom_site_fract_y
_atom_site_fract_z
Ta1 0.000 0.250 0.375
Au1 0.000 0.250 0.797
```

Results
- ΔE_f (kJ/mol of formula units) = -16